A.
Na2InHg8 after structural relaxation, computed with GGA-PBE.

Summary:
Magnetic moment (μB per formula unit): 0.00

a b c (Å): 4.862 4.862 12.466
angles (deg): 90.00 90.00 90.00
Space group P4/mmm (No. 123)
Unique sites:
Na 0.000 0.000 0.176 x2
In 0.000 0.000 0.500 x1
Hg 0.000 0.500 0.000 x2
Hg 0.000 0.500 0.352 x4
Hg 0.500 0.500 0.180 x2

B.
Na2InHg8 after structural relaxation, computed with GGA-PBE.

Summary:
Magnetic moment (μB per formula unit): 0.00

a b c (Å): 8.753 14.864 6.178
angles (deg): 90.00 132.21 90.00
Space group C2/m (No. 12)
Unique sites:
Na 0.000 0.191 0.000 x4
In 0.000 0.500 0.500 x2
Hg 0.000 0.275 0.500 x4
Hg 0.097 0.000 0.863 x4
Hg 0.205 0.384 0.315 x8

Which of them is the most stable, and which is the least stable? A and B, in that order.

A.
Na3InHg2 after structural relaxation, computed with GGA-PBE.

Summary:
Magnetic moment (μB per formula unit): 0.00

a b c (Å): 4.716 14.158 4.710
angles (deg): 90.00 90.00 90.00
Space group Pmmn (No. 59, origin choice 2)
Unique sites:
Na 0.250 0.080 0.000 x4
Na 0.250 0.750 0.001 x2
In 0.250 0.250 0.499 x2
Hg 0.250 0.589 0.501 x4

B.
Na3InHg2 after structural relaxation, computed with GGA-PBE.

Summary:
Magnetic moment (μB per formula unit): 0.00

a b c (Å): 9.538 11.451 6.286
angles (deg): 90.00 94.82 90.00
Space group C2/c (No. 15)
Unique sites:
Na 0.000 0.235 0.250 x4
Na 0.195 0.485 0.477 x8
In 0.000 0.039 0.750 x4
Hg 0.174 0.261 0.770 x8

Which of them is the most stable, and which is the least stable? A and B, in that order.

A.
NaIn4Hg7 after structural relaxation, computed with GGA-PBE.

Summary:
Magnetic moment (μB per formula unit): 0.00

a b c (Å): 6.064 6.365 8.648
angles (deg): 105.88 101.02 90.57
Space group P-1 (No. 2)
Unique sites:
Na 0.000 0.000 0.000 x1
In 0.197 0.263 0.690 x2
In 0.320 0.457 0.330 x2
Hg 0.000 0.500 0.000 x1
Hg 0.157 0.755 0.644 x2
Hg 0.318 0.964 0.337 x2
Hg 0.473 0.752 0.984 x2

B.
NaIn4Hg7 after structural relaxation, computed with GGA-PBE.

Summary:
Magnetic moment (μB per formula unit): 0.00

a b c (Å): 12.900 6.152 9.543
angles (deg): 90.00 120.43 90.00
Space group C2/m (No. 12)
Unique sites:
Na 0.000 0.000 0.000 x2
In 0.002 0.500 0.671 x4
In 0.245 0.000 0.664 x4
Hg 0.000 0.500 0.000 x2
Hg 0.001 0.000 0.332 x4
Hg 0.246 0.000 0.999 x4
Hg 0.247 0.500 0.664 x4

Which of them is the most stable, and which is the least stable? A and B, in that order.

A.
NaIn6Hg12 after structural relaxation, computed with GGA-PBE.

Summary:
Magnetic moment (μB per formula unit): 0.00

a b c (Å): 13.9083 13.9083 9.5525
angles (deg): 90.00 90.00 120.00
Space group R-3m (No. 166, hexagonal axes)
Unique sites:
Na 0.0000 0.0000 0.0000 x3
In 0.0534 0.5267 0.2192 x18
Hg 0.0000 0.3912 0.5000 x18
Hg 0.0765 0.1529 0.2778 x18

B.
NaIn6Hg12 after structural relaxation, computed with GGA-PBE.

Summary:
Magnetic moment (μB per formula unit): 0.00

a b c (Å): 14.5233 14.5233 8.1918
angles (deg): 90.00 90.00 120.00
Space group R-3 (No. 148, hexagonal axes)
Unique sites:
Na 0.0000 0.0000 0.0000 x3
In 0.0143 0.1441 0.6677 x18
Hg 0.0332 0.2790 0.3454 x18
Hg 0.0742 0.5661 0.6612 x18

Which of them is the most stable, and which is the least stable? B and A, in that order.

A.
Na2InHg4 after structural relaxation, computed with GGA-PBE.

Summary:
Magnetic moment (μB per formula unit): 0.00

a b c (Å): 5.565 5.565 16.055
angles (deg): 90.00 90.00 90.00
Space group I4/mmm (No. 139)
Unique sites:
Na 0.000 0.000 0.115 x4
In 0.000 0.000 0.500 x2
Hg 0.000 0.000 0.302 x4
Hg 0.000 0.500 0.000 x4

B.
Na2InHg4 after structural relaxation, computed with GGA-PBE.

Summary:
Magnetic moment (μB per formula unit): 0.00

a b c (Å): 6.607 10.673 10.688
angles (deg): 90.00 90.00 90.00
Space group Fmmm (No. 69)
Unique sites:
Na 0.250 0.250 0.250 x8
In 0.000 0.000 0.000 x4
Hg 0.000 0.000 0.296 x8
Hg 0.000 0.201 0.500 x8

Which of them is the most stable, and which is the least stable? B and A, in that order.

A.
NaIn8Hg2 after structural relaxation, computed with GGA-PBE.

Summary:
Magnetic moment (μB per formula unit): 0.00

a b c (Å): 17.048 6.279 5.671
angles (deg): 90.00 95.07 90.00
Space group C2/m (No. 12)
Unique sites:
Na 0.000 0.000 0.000 x2
In 0.090 0.246 0.546 x8
In 0.095 0.500 0.032 x4
In 0.243 0.500 0.414 x4
Hg 0.189 0.000 0.065 x4

B.
NaIn8Hg2 after structural relaxation, computed with GGA-PBE.

Summary:
Magnetic moment (μB per formula unit): 0.00

a b c (Å): 8.577 15.247 4.991
angles (deg): 90.00 110.46 90.00
Space group C2/m (No. 12)
Unique sites:
Na 0.000 0.000 0.000 x2
In 0.000 0.215 0.000 x4
In 0.113 0.500 0.815 x4
In 0.204 0.114 0.627 x8
Hg 0.000 0.319 0.500 x4

Which of them is the most stable, and which is the least stable? A and B, in that order.

A.
NaInHg2Pb after structural relaxation, computed with GGA-PBE.

Summary:
Magnetic moment (μB per formula unit): 0.00

a b c (Å): 5.387 5.387 5.871
angles (deg): 90.00 90.00 90.00
Space group P4/mmm (No. 123)
Unique sites:
Na 0.000 0.000 0.000 x1
In 0.500 0.500 0.500 x1
Hg 0.000 0.500 0.000 x2
Pb 0.000 0.000 0.500 x1

B.
NaInHg2Pb after structural relaxation, computed with GGA-PBE.

Summary:
Magnetic moment (μB per formula unit): 0.00

a b c (Å): 5.0379 5.0379 6.5113
angles (deg): 90.00 90.00 120.00
Space group P3m1 (No. 156)
Unique sites:
Na 0.0000 0.0000 0.0000 x1
In 0.3333 0.6667 0.6591 x1
Hg 0.3333 0.6667 0.1658 x1
Hg 0.6667 0.3333 0.8367 x1
Pb 0.6667 0.3333 0.3533 x1

Which of them is the most stable, and which is the least stable? B and A, in that order.

A.
NaIn2HgPd after structural relaxation, computed with GGA-PBE.

Summary:
Magnetic moment (μB per formula unit): 0.00

a b c (Å): 5.176 5.176 5.360
angles (deg): 90.00 90.00 90.00
Space group P4/mmm (No. 123)
Unique sites:
Na 0.000 0.000 0.000 x1
In 0.000 0.500 0.500 x2
Hg 0.500 0.500 0.000 x1
Pd 0.500 0.500 0.500 x1

B.
NaIn2HgPd after structural relaxation, computed with GGA-PBE.

Summary:
Magnetic moment (μB per formula unit): 0.00

a b c (Å): 5.157 5.157 5.496
angles (deg): 90.00 90.00 90.00
Space group P4/mmm (No. 123)
Unique sites:
Na 0.000 0.000 0.000 x1
In 0.000 0.500 0.500 x2
Hg 0.500 0.500 0.000 x1
Pd 0.000 0.000 0.500 x1

Which of them is the most stable, and which is the least stable? B and A, in that order.